(1)
Entry from Alexandria: Dy2TiI after structural relaxation (GGA-PBE). Values from VASP.

Structure (Quantum ESPRESSO input):
```
&SYSTEM
  ibrav = 0, nat = 4, ntyp = 3
/
ATOMIC_SPECIES
Ti 47.87 Ti.upf
Dy 162.50 Dy.upf
I 126.90 I.upf
CELL_PARAMETERS angstrom
-0.006 -0.519 3.453
-2.705 -1.601 1.520
4.036 -10.435 0.202
ATOMIC_POSITIONS angstrom
Ti 0.000 0.000 0.000
Dy -1.379 -4.743 4.581
I 0.662 -6.277 2.588
Dy 2.704 -7.812 0.595
```

Fermi-level density of states: 1.19 states/eV per atom
E_form (uncorrected): 0.248 eV/atom
Space-group type: R-3m

(2)
Entry from Alexandria: DyTiI after structural relaxation (GGA-PBE). Values from VASP.

Structure (Quantum ESPRESSO input):
```
&SYSTEM
  ibrav = 0, nat = 6, ntyp = 3
/
ATOMIC_SPECIES
Dy 162.50 Dy.upf
I 126.90 I.upf
Ti 47.87 Ti.upf
CELL_PARAMETERS angstrom
-0.534 2.872 2.358
-4.837 0.380 -1.559
4.601 -9.781 6.982
ATOMIC_POSITIONS angstrom
Dy -0.843 -4.812 4.178
I 1.033 -6.277 6.388
Dy 0.074 -1.716 3.603
Ti 1.436 -3.392 5.953
Ti -2.205 -3.136 1.828
I -1.802 -0.251 1.393
```

Fermi-level density of states: 1.06 states/eV per atom
E_form (uncorrected): -0.260 eV/atom
Space-group type: P2_1/m

(3)
Entry from Alexandria: DyTl5I8 after structural relaxation (GGA-PBE). Values from VASP.

Structure (Quantum ESPRESSO input):
```
&SYSTEM
  ibrav = 0, nat = 14, ntyp = 3
/
ATOMIC_SPECIES
Tl 204.38 Tl.upf
I 126.90 I.upf
Dy 162.50 Dy.upf
CELL_PARAMETERS angstrom
-2.339 2.423 -8.418
6.856 -5.913 -0.490
-7.075 -3.819 4.192
ATOMIC_POSITIONS angstrom
Tl -4.303 0.157 -6.805
I 3.997 -4.934 -0.056
Tl 2.258 -1.745 -4.454
I 0.134 -2.851 -1.082
I -1.329 -7.028 -1.936
Tl -6.356 -2.839 -3.832
Dy 1.020 -5.738 -0.376
I -4.019 -2.369 -1.421
I -0.926 -1.481 -5.861
I -1.856 -5.655 1.585
Tl -1.832 -4.087 -3.890
Tl -1.821 0.487 -2.835
I 1.684 -5.113 -3.737
I 1.277 -8.139 1.569
```

Fermi-level density of states: 0.00 states/eV per atom
E_form (uncorrected): -0.817 eV/atom
Space-group type: I-4

(4)
Entry from Alexandria: DyTl2I5 after structural relaxation (GGA-PBE). Values from VASP.

Structure (Quantum ESPRESSO input):
```
&SYSTEM
  ibrav = 0, nat = 32, ntyp = 3
/
ATOMIC_SPECIES
Tl 204.38 Tl.upf
I 126.90 I.upf
Dy 162.50 Dy.upf
CELL_PARAMETERS angstrom
9.349 0.000 0.000
0.000 9.664 0.000
0.000 0.000 14.145
ATOMIC_POSITIONS angstrom
Tl 3.824 4.892 11.737
I 6.006 7.248 9.982
Dy 5.410 7.248 6.983
I 8.484 2.416 2.736
I 3.062 5.301 7.967
I 7.736 4.363 13.250
I 5.539 2.416 9.808
I 3.936 2.416 0.082
I 1.613 9.195 0.895
I 5.412 7.248 14.062
Tl 0.850 4.892 4.664
I 8.017 7.248 2.910
Tl 3.824 9.604 11.737
Tl 8.499 4.772 9.480
Tl 0.850 9.604 4.664
Tl 5.524 4.772 2.408
Dy 0.735 2.416 0.090
I 3.062 9.195 7.967
I 3.810 7.248 4.336
I 3.343 2.416 4.163
I 6.287 4.363 6.178
Tl 8.499 0.060 9.480
I 7.736 0.469 13.250
I 1.613 5.301 0.895
I 0.864 7.248 11.409
I 8.611 7.248 6.990
I 1.332 2.416 11.235
Dy 8.613 7.248 14.055
I 0.738 2.416 7.154
Dy 3.939 2.416 7.162
Tl 5.524 0.060 2.408
I 6.287 0.469 6.178
```

Energy relative to the lowest polymorph listed for this composition: 0.0000 eV per atom
Fermi-level density of states: 0.00 states/eV per atom
E_form (uncorrected): -1.015 eV/atom
Space-group type: Pnma

(5)
Entry from Alexandria: DyTl4I7 after structural relaxation (GGA-PBE). Values from VASP.

Structure (Quantum ESPRESSO input):
```
&SYSTEM
  ibrav = 0, nat = 12, ntyp = 3
/
ATOMIC_SPECIES
Dy 162.50 Dy.upf
I 126.90 I.upf
Tl 204.38 Tl.upf
CELL_PARAMETERS angstrom
-4.536 3.602 -1.103
-4.100 -6.341 -3.848
0.108 -0.880 12.437
ATOMIC_POSITIONS angstrom
Dy 0.000 0.000 0.000
I -1.867 -1.912 1.430
I -6.661 -1.707 6.055
I -2.268 1.801 -0.552
I -4.912 1.304 8.697
I -2.121 -0.940 5.649
I -3.615 -4.924 -1.212
Tl -4.996 -5.070 3.986
Tl -3.532 1.450 3.500
Tl -3.768 -2.268 8.083
Tl -4.760 -1.351 -0.598
I -6.407 -2.680 1.836
```

Fermi-level density of states: 0.00 states/eV per atom
E_form (uncorrected): -0.859 eV/atom
Space-group type: C2/m

(6)
Entry from Alexandria: DyTl2I5 after structural relaxation (GGA-PBE). Values from VASP.

Structure (Quantum ESPRESSO input):
```
&SYSTEM
  ibrav = 0, nat = 8, ntyp = 3
/
ATOMIC_SPECIES
I 126.90 I.upf
Tl 204.38 Tl.upf
Dy 162.50 Dy.upf
CELL_PARAMETERS angstrom
8.441 0.000 -0.003
0.000 8.441 -0.002
-4.222 -4.222 6.811
ATOMIC_POSITIONS angstrom
I 4.214 4.217 3.756
I 6.390 2.051 0.587
Tl 4.220 0.002 2.325
Dy 4.217 4.219 6.616
I 6.390 6.390 0.588
I 2.051 6.390 0.586
I 2.051 2.051 0.585
Tl 0.004 4.221 2.326
```

Energy relative to the lowest polymorph listed for this composition: 0.0470 eV per atom
Fermi-level density of states: 0.00 states/eV per atom
E_form (uncorrected): -0.968 eV/atom
Space-group type: Cm

(7)
Entry from Alexandria: Dy2Tl5I12 after structural relaxation (GGA-PBE). Values from VASP.

Structure (Quantum ESPRESSO input):
```
&SYSTEM
  ibrav = 0, nat = 19, ntyp = 3
/
ATOMIC_SPECIES
Dy 162.50 Dy.upf
I 126.90 I.upf
Tl 204.38 Tl.upf
CELL_PARAMETERS angstrom
8.870 0.000 0.000
-4.435 8.756 -3.802
0.000 0.708 11.102
ATOMIC_POSITIONS angstrom
Dy 2.246 0.000 0.000
I 6.554 2.965 -0.298
I -2.119 6.500 7.598
I 4.435 0.274 2.150
Tl 0.000 0.354 5.551
Tl 4.435 4.120 2.436
Tl 0.000 5.345 4.864
Tl 0.000 5.673 -0.444
I 2.316 2.965 -0.298
I 2.229 2.676 5.208
I 6.641 2.676 5.208
I 2.206 6.789 2.093
Tl 4.435 3.791 7.744
I 0.000 9.190 5.150
I 0.000 0.200 2.072
I -2.206 6.789 2.093
I 2.119 6.500 7.598
Dy 6.624 0.000 0.000
I 4.435 9.264 5.228
```

Fermi-level density of states: 0.31 states/eV per atom
E_form (uncorrected): -0.889 eV/atom
Space-group type: C2/m

(8)
Entry from Alexandria: Dy2TlI3 after structural relaxation (GGA-PBE). Values from VASP.

Structure (Quantum ESPRESSO input):
```
&SYSTEM
  ibrav = 0, nat = 12, ntyp = 3
/
ATOMIC_SPECIES
I 126.90 I.upf
Dy 162.50 Dy.upf
Tl 204.38 Tl.upf
CELL_PARAMETERS angstrom
4.063 0.000 0.000
2.031 11.844 -1.500
2.031 1.376 10.630
ATOMIC_POSITIONS angstrom
I 6.094 10.991 5.388
Dy 2.031 7.007 1.016
I 2.031 2.229 3.742
I 6.094 10.071 1.514
Tl 4.063 7.094 5.949
Dy 4.063 9.365 3.819
I 2.031 4.138 -0.219
I 2.031 3.149 7.616
I 6.094 9.082 9.349
Dy 4.063 3.855 5.310
Dy 6.094 6.213 8.114
Tl 4.063 6.125 3.181
```

Fermi-level density of states: 0.26 states/eV per atom
E_form (uncorrected): -0.873 eV/atom
Space-group type: C2/m

(9)
Entry from Alexandria: DyTmI2 after structural relaxation (GGA-PBE). Values from VASP.

Structure (Quantum ESPRESSO input):
```
&SYSTEM
  ibrav = 0, nat = 4, ntyp = 3
/
ATOMIC_SPECIES
I 126.90 I.upf
Tm 168.93 Tm.upf
Dy 162.50 Dy.upf
CELL_PARAMETERS angstrom
3.822 0.000 0.000
1.911 3.310 0.000
1.911 1.103 10.603
ATOMIC_POSITIONS angstrom
I 5.733 3.310 3.083
I 1.911 1.103 7.520
Tm 0.000 0.000 0.000
Dy 3.822 2.206 5.301
```

Fermi-level density of states: 0.67 states/eV per atom
E_form (uncorrected): -0.601 eV/atom
Space-group type: R-3m

(10)
Entry from Alexandria: Dy2TmI after structural relaxation (GGA-PBE). Values from VASP.

Structure (Quantum ESPRESSO input):
```
&SYSTEM
  ibrav = 0, nat = 4, ntyp = 3
/
ATOMIC_SPECIES
Dy 162.50 Dy.upf
I 126.90 I.upf
Tm 168.93 Tm.upf
CELL_PARAMETERS angstrom
3.617 0.000 0.000
0.000 3.617 0.000
0.000 0.000 9.430
ATOMIC_POSITIONS angstrom
Dy 0.000 0.000 7.106
I 1.809 1.809 0.000
Tm 1.809 1.809 4.715
Dy 0.000 0.000 2.324
```

Energy relative to the lowest polymorph listed for this composition: 0.0665 eV per atom
Fermi-level density of states: 1.12 states/eV per atom
E_form (uncorrected): -0.276 eV/atom
Space-group type: P4/mmm

(11)
Entry from Alexandria: DyTmI after structural relaxation (GGA-PBE). Values from VASP.

Structure (Quantum ESPRESSO input):
```
&SYSTEM
  ibrav = 0, nat = 3, ntyp = 3
/
ATOMIC_SPECIES
Dy 162.50 Dy.upf
I 126.90 I.upf
Tm 168.93 Tm.upf
CELL_PARAMETERS angstrom
3.798 0.000 0.000
-1.899 3.289 0.000
0.000 0.000 7.489
ATOMIC_POSITIONS angstrom
Dy 0.000 2.193 4.951
I 1.899 1.096 2.489
Tm 0.000 0.000 0.049
```

Energy relative to the lowest polymorph listed for this composition: 0.0000 eV per atom
Fermi-level density of states: 1.29 states/eV per atom
E_form (uncorrected): -0.494 eV/atom
Space-group type: P3m1

(12)
Entry from Alexandria: DyTmI after structural relaxation (GGA-PBE). Values from VASP.

Structure (Quantum ESPRESSO input):
```
&SYSTEM
  ibrav = 0, nat = 6, ntyp = 3
/
ATOMIC_SPECIES
Tm 168.93 Tm.upf
I 126.90 I.upf
Dy 162.50 Dy.upf
CELL_PARAMETERS angstrom
-2.487 -2.801 0.622
-0.393 -1.090 -6.476
7.083 -2.958 3.405
ATOMIC_POSITIONS angstrom
Tm -0.603 -3.151 -5.008
I 1.387 -4.403 -2.696
Dy 0.850 -1.215 -2.071
Dy 3.353 -5.634 -0.378
Tm 4.806 -3.698 2.560
I 2.817 -2.446 0.247
```

Energy relative to the lowest polymorph listed for this composition: 0.0008 eV per atom
Fermi-level density of states: 1.35 states/eV per atom
E_form (uncorrected): -0.493 eV/atom
Space-group type: C2/m

Which value of Fermi-level density of states does entry 9 give? 0.67 states/eV per atom

The highest Fermi-level density of states belongs to which entry? number 12

Among the records above, which one has the highest Fermi-level density of states? number 12